(1)
Compound: TlHN3
Source: Alexandria
Functional: GGA-PBE
Structure: optimized geometry

Output
The total energy is -3.12 eV/atom.

a b c (Å): 4.555 4.555 4.555
angles (deg): 90.00 90.00 90.00
Positions (direct):
Tl (0.000, 0.000, 0.000)
H (0.500, 0.500, 0.500)
N (0.000, 0.000, 0.500)
N (0.000, 0.500, 0.000)
N (0.500, 0.000, 0.000)



(2)
Compound: Tl2H5N
Source: Alexandria
Functional: GGA-PBE
Structure: optimized geometry

Output
The total energy is -3.66 eV/atom.

a b c (Å): 5.099 5.102 5.749
angles (deg): 93.18 93.14 102.67
Positions (direct):
Tl (0.000, 0.000, 0.000)
Tl (0.464, 0.536, 0.999)
H (0.361, 0.899, 0.534)
H (0.452, 0.197, 0.415)
H (0.608, 0.143, 0.682)
H (0.662, 0.981, 0.418)
H (0.712, 0.248, 0.935)
N (0.522, 0.056, 0.512)



(3)
Compound: Tl2HN2
Source: Alexandria
Functional: GGA-PBE
Structure: optimized geometry

Output
As for the energy relative to the lowest polymorph listed for this composition: 0 meV/atom.

a b c (Å): 5.399 5.399 5.399
angles (deg): 123.50 123.50 84.04
Positions (direct):
Tl (0.250, 0.750, 0.500)
Tl (0.750, 0.250, 0.500)
H (0.000, 0.000, 0.000)
N (0.428, 0.428, 0.000)
N (0.572, 0.572, 0.000)



(4)
Compound: TlHN2
Source: Alexandria
Functional: GGA-PBE
Structure: optimized geometry

Output
As for the energy relative to the lowest polymorph listed for this composition: 404 meV/atom.

a b c (Å): 6.058 6.058 6.058
angles (deg): 141.69 141.69 55.30
Positions (direct):
Tl (0.000, 0.000, 0.000)
Tl (0.750, 0.250, 0.500)
H (0.250, 0.750, 0.500)
H (0.500, 0.500, 0.000)
N (0.289, 0.625, 0.164)
N (0.375, 0.539, 0.664)
N (0.461, 0.125, 0.836)
N (0.875, 0.711, 0.336)



(5)
Compound: TlH6N3
Source: Alexandria
Functional: GGA-PBE
Structure: optimized geometry

Output
The total energy is -4.59 eV/atom.

a b c (Å): 5.778 5.778 5.778
angles (deg): 102.03 102.03 102.03
Positions (direct):
Tl (0.000, 0.000, 0.000)
H (0.234, 0.719, 0.719)
H (0.453, 0.949, 0.949)
H (0.719, 0.234, 0.719)
H (0.719, 0.719, 0.234)
H (0.949, 0.453, 0.949)
H (0.949, 0.949, 0.453)
N (0.273, 0.866, 0.866)
N (0.866, 0.273, 0.866)
N (0.866, 0.866, 0.273)



(6)
Compound: Tl2HN2
Source: Alexandria
Functional: GGA-PBE
Structure: optimized geometry

Output
As for the energy relative to the lowest polymorph listed for this composition: 1114 meV/atom.

a b c (Å): 6.219 6.219 6.219
angles (deg): 144.58 144.58 50.96
Positions (direct):
Tl (0.127, 0.127, 0.000)
Tl (0.873, 0.873, 0.000)
H (0.500, 0.500, 0.000)
N (0.250, 0.750, 0.500)
N (0.750, 0.250, 0.500)



Repeat the first record exactly.
Compound: TlHN3
Source: Alexandria
Functional: GGA-PBE
Structure: optimized geometry

Output
The total energy is -3.12 eV/atom.

a b c (Å): 4.555 4.555 4.555
angles (deg): 90.00 90.00 90.00
Positions (direct):
Tl (0.000, 0.000, 0.000)
H (0.500, 0.500, 0.500)
N (0.000, 0.000, 0.500)
N (0.000, 0.500, 0.000)
N (0.500, 0.000, 0.000)